1.
Compound: Tl2CrIrW
Source: the Alexandria database
Functional: GGA-PBE
Structure: relaxed

* space group: P4/mmm (123)
* energy relative to the elements: 1414 meV/atom
* total DFT energy (no corrections): -5.82 eV/atom
* DOS at the Fermi energy: 4.15 states/eV/cell

a b c (Å): 5.3652 5.3652 4.7609
angles (deg): 90.00 90.00 90.00
Last column: nearest neighbours and their distance in Å.
Atoms (fractional coordinates):
Tl (0.0000, 0.5000, 0.0000)  2 W 2.68
Tl (0.5000, 0.0000, 0.0000)  2 W 2.68
Cr (0.0000, 0.0000, 0.5000)  8 Tl 3.59, 4 Ir 3.79
Ir (0.5000, 0.5000, 0.5000)  2 W 2.38
W (0.5000, 0.5000, 0.0000)  2 Ir 2.38


2.
Compound: Pm4CoBr5
Source: the Alexandria database
Functional: GGA-PBE
Structure: relaxed

* space group: C2/m (12)
* total DFT energy (no corrections): -4.80 eV/atom
* DOS at the Fermi energy: 5.12 states/eV/cell

a b c (Å): 9.7050 9.7050 8.6354
angles (deg): 103.45 103.45 23.86
Last column: nearest neighbours and their distance in Å.
Atoms (fractional coordinates):
Pm (0.9996, 0.9996, 0.2110)  2 Co 2.71
Pm (0.0004, 0.0004, 0.7890)  2 Co 2.71
Pm (0.3522, 0.3522, 0.9147)  1 Co 2.73, 4 Br 2.96-3.03
Pm (0.6478, 0.6478, 0.0853)  1 Co 2.73, 4 Br 2.96-3.03
Co (0.5000, 0.5000, 0.0000)  6 Pm 2.71-2.73
Br (0.1666, 0.1666, 0.3444)  3 Pm 2.96-3.11
Br (0.1739, 0.1739, 0.8421)  4 Pm 3.03-3.29
Br (0.5000, 0.5000, 0.5000)  4 Pm 3.20
Br (0.8261, 0.8261, 0.1579)  4 Pm 3.03-3.29
Br (0.8334, 0.8334, 0.6556)  3 Pm 2.96-3.11


3.
Compound: Ba2DyO3
Source: the Alexandria database
Functional: GGA-PBE
Structure: relaxed

* space group: C2/c (15)
* total DFT energy (no corrections): -6.49 eV/atom
* DOS at the Fermi energy: 3.39 states/eV/cell

a b c (Å): 6.6489 6.6489 7.1903
angles (deg): 105.67 105.67 50.26
Last column: nearest neighbours and their distance in Å.
Atoms (fractional coordinates):
Ba (0.1678, 0.1719, 0.0852)  6 O 2.69-2.91
Ba (0.1719, 0.1678, 0.5852)  6 O 2.69-2.91
Ba (0.8281, 0.8322, 0.4148)  6 O 2.69-2.91
Ba (0.8322, 0.8281, 0.9148)  6 O 2.69-2.91
Dy (0.4678, 0.5322, 0.7500)  5 O 2.15-2.36
Dy (0.5322, 0.4678, 0.2500)  5 O 2.15-2.36
O (0.0862, 0.9138, 0.7500)  1 Dy 2.15
O (0.3647, 0.3715, 0.4334)  2 Dy 2.36
O (0.3715, 0.3647, 0.9334)  2 Dy 2.36
O (0.6285, 0.6353, 0.0666)  2 Dy 2.36
O (0.6353, 0.6285, 0.5666)  2 Dy 2.36
O (0.9138, 0.0862, 0.2500)  1 Dy 2.15


4.
Compound: Co2Cu2Pt7
Source: the Alexandria database
Functional: GGA-PBE
Structure: relaxed

* space group: Cmmm (65)
* energy relative to the elements: 338 meV/atom
* total DFT energy (no corrections): -5.54 eV/atom
* DOS at the Fermi energy: 13.88 states/eV/cell

a b c (Å): 5.5189 5.5189 6.0028
angles (deg): 90.00 90.00 99.12
Last column: nearest neighbours and their distance in Å.
Atoms (fractional coordinates):
Co (0.2078, 0.7922, 0.0000)  7 Pt 2.44-2.46
Co (0.7922, 0.2078, 0.0000)  7 Pt 2.44-2.46
Cu (0.3316, 0.3316, 0.5000)  1 Cu 2.41, 4 Pt 2.57
Cu (0.6684, 0.6684, 0.5000)  1 Cu 2.41, 4 Pt 2.57
Pt (0.0000, 0.0000, 0.2829)  2 Co 2.44, 1 Pt 2.61, 2 Cu 2.71
Pt (0.0000, 0.0000, 0.7171)  2 Co 2.44, 1 Pt 2.61, 2 Cu 2.71
Pt (0.0000, 0.5000, 0.2726)  2 Co 2.45, 2 Cu 2.57, 1 Pt 2.73
Pt (0.0000, 0.5000, 0.7274)  2 Co 2.45, 2 Cu 2.57, 1 Pt 2.73
Pt (0.5000, 0.0000, 0.2726)  2 Co 2.45, 2 Cu 2.57, 1 Pt 2.73
Pt (0.5000, 0.0000, 0.7274)  2 Co 2.45, 2 Cu 2.57, 1 Pt 2.73
Pt (0.5000, 0.5000, 0.0000)  2 Co 2.46


5.
Compound: Mn3Pb5Cl16
Source: the Alexandria database
Functional: GGA-PBE
Structure: relaxed

* space group: Cm (8)
* total DFT energy (no corrections): -4.25 eV/atom
* DOS at the Fermi energy: 0.00 states/eV/cell

a b c (Å): 8.1843 8.1843 13.1583
angles (deg): 92.13 92.13 58.35
Last column: nearest neighbours and their distance in Å.
Atoms (fractional coordinates):
Mn (0.0000, 0.0000, 0.0000)  6 Cl 2.55-2.58
Mn (0.1663, 0.6655, 0.4919)  6 Cl 2.52-2.64
Mn (0.6655, 0.1663, 0.4919)  6 Cl 2.52-2.64
Pb (0.1567, 0.1567, 0.2698)  6 Cl 2.89-2.99
Pb (0.4886, 0.4886, 0.7567)  6 Cl 2.88-2.97
Pb (0.5006, 0.9967, 0.9957)  6 Cl 2.88-2.95
Pb (0.6665, 0.6665, 0.4975)  6 Cl 2.88-2.95
Pb (0.9967, 0.5006, 0.9957)  6 Cl 2.88-2.95
Cl (0.0101, 0.5248, 0.3812)  1 Mn 2.52
Cl (0.1396, 0.1396, 0.8841)  1 Mn 2.56
Cl (0.1529, 0.6912, 0.8913)  1 Mn 2.56
Cl (0.3037, 0.8550, 0.1153)  1 Mn 2.58
Cl (0.3142, 0.7997, 0.6129)  1 Mn 2.52
Cl (0.3162, 0.3162, 0.1375)  3 Pb 2.88-2.93
Cl (0.3447, 0.3447, 0.5952)  2 Mn 2.64, 1 Pb 2.89
Cl (0.4824, 0.4824, 0.3889)  2 Mn 2.61
Cl (0.5248, 0.0101, 0.3812)  1 Mn 2.52
Cl (0.6742, 0.6742, 0.8514)  3 Pb 2.88-2.91
Cl (0.6912, 0.1529, 0.8913)  1 Mn 2.56
Cl (0.7997, 0.3142, 0.6129)  1 Mn 2.52
Cl (0.8500, 0.8500, 0.5964)  2 Mn 2.62, 1 Pb 2.88
Cl (0.8550, 0.3037, 0.1153)  1 Mn 2.58
Cl (0.8577, 0.8577, 0.1103)  1 Mn 2.55
Cl (0.9863, 0.9863, 0.3937)  2 Mn 2.60


6.
Compound: Li2LaThS4
Source: the Alexandria database
Functional: GGA-PBE
Structure: relaxed

* space group: P2/m (10)
* total DFT energy (no corrections): -5.81 eV/atom
* DOS at the Fermi energy: 3.51 states/eV/cell

a b c (Å): 6.6619 4.0456 7.0346
angles (deg): 90.00 110.46 90.00
Last column: nearest neighbours and their distance in Å.
Atoms (fractional coordinates):
Li (0.0000, 0.0000, 0.0000)  6 S 2.72-2.74
Li (0.0000, 0.5000, 0.5000)  6 S 2.79-2.82
La (0.5000, 0.0000, 0.5000)  6 S 2.89-2.90
Th (0.5000, 0.5000, 0.0000)  6 S 2.81-2.84
S (0.2365, 0.0000, 0.7529)  3 Li 2.72-2.79, 2 Th 2.84, 1 La 2.90
S (0.2359, 0.5000, 0.2365)  3 Li 2.74-2.82, 1 Th 2.81, 2 La 2.89
S (0.7635, 0.0000, 0.2471)  3 Li 2.72-2.79, 2 Th 2.84, 1 La 2.90
S (0.7641, 0.5000, 0.7635)  3 Li 2.74-2.82, 1 Th 2.81, 2 La 2.89


> Among the records above, which one has the lowest DOS at the Fermi energy?

Mn3Pb5Cl16